Record 1
Material: LiNiCl4
Method: DFT, PBE-GGA
State: optimized geometry

a = 6.117 Å, b = 3.518 Å, c = 6.562 Å
α = 90.00°, β = 104.79°, γ = 90.00°
Space group P2/m (No. 10)
Asymmetric unit:
Li: 0.000 0.000 0.000 x1
Ni: 0.500 0.500 0.000 x1
Cl: 0.259 0.500 0.202 x2
Cl: 0.293 0.000 0.792 x2

The magnetization is 0.998 μB per formula unit. The value obtained for the total energy is -3.409 eV/atom. For the formation energy from raw total energies, the calculation gives -0.895 eV/atom.

Record 2
Material: TbSm2Bi2
Method: DFT, PBE-GGA
State: optimized geometry

a = 18.009 Å, b = 4.428 Å, c = 8.826 Å
α = 90.00°, β = 104.18°, γ = 90.00°
Space group C2/m (No. 12)
Asymmetric unit:
Tb: 0.180 0.000 0.340 x4
Sm: 0.000 0.500 0.251 x4
Sm: 0.180 0.000 0.840 x4
Bi: 0.135 0.500 0.070 x4
Bi: 0.137 0.500 0.565 x4

The magnetization is 0.001 μB per formula unit. The value obtained for the total energy is -4.995 eV/atom.

Record 3
Material: Nd4TeCI2
Method: DFT, PBE-GGA
State: optimized geometry

a = 7.708 Å, b = 4.095 Å, c = 8.021 Å
α = 90.00°, β = 107.04°, γ = 90.00°
Space group P2/m (No. 10)
Asymmetric unit:
Nd: 0.186 0.000 0.181 x2
Nd: 0.205 0.500 0.808 x2
Te: 0.500 0.000 0.000 x1
C: 0.000 0.500 0.000 x1
I: 0.000 0.000 0.500 x1
I: 0.500 0.500 0.500 x1

The magnetization is 0.000 μB per formula unit. The value obtained for the total energy is -5.244 eV/atom. For the formation energy from raw total energies, the calculation gives -0.927 eV/atom.

Record 4
Material: SiAs2Ru
Method: DFT, PBE-GGA
State: optimized geometry

a = 3.715 Å, b = 2.969 Å, c = 6.820 Å
α = 90.00°, β = 90.13°, γ = 90.00°
Space group Pm (No. 6)
Asymmetric unit:
Si: 0.000 0.000 0.000 x1
As: 0.502 0.000 0.244 x1
As: 0.998 0.500 0.644 x1
Ru: 0.499 0.500 0.919 x1

The magnetization is 0.000 μB per formula unit. The value obtained for the total energy is -6.023 eV/atom. For the formation energy from raw total energies, the calculation gives -0.024 eV/atom.

Record 5
Material: RbH5Au
Method: DFT, PBE-GGA
State: optimized geometry

a = 7.896 Å, b = 5.713 Å, c = 5.703 Å
α = 90.00°, β = 116.24°, γ = 90.00°
Space group C2/m (No. 12)
Asymmetric unit:
Rb: 0.000 0.000 0.000 x2
H: 0.000 0.000 0.500 x2
H: 0.000 0.179 0.500 x4
H: 0.084 0.500 0.824 x4
Au: 0.000 0.500 0.500 x2

The magnetization is 0.000 μB per formula unit. The value obtained for the total energy is -3.015 eV/atom.

Record 6
Material: Tm7Tl2Tc2
Method: DFT, PBE-GGA
State: optimized geometry

a = 7.128 Å, b = 10.931 Å, c = 7.707 Å
α = 90.00°, β = 90.00°, γ = 90.00°
Space group Cmmm (No. 65)
Asymmetric unit:
Tm: 0.000 0.000 0.000 x2
Tm: 0.000 0.500 0.207 x4
Tm: 0.250 0.250 0.268 x8
Tl: 0.204 0.000 0.500 x4
Tc: 0.000 0.295 0.000 x4

The magnetization is 0.000 μB per formula unit. The value obtained for the total energy is -5.215 eV/atom.

Record 7
Material: Cs3RuI8
Method: DFT, PBE-GGA
State: optimized geometry

a = 11.5376 Å, b = 11.5376 Å, c = 9.6646 Å
α = 90.00°, β = 90.00°, γ = 120.00°
Space group P6_3mc (No. 186)
Asymmetric unit:
Cs: 0.1511 0.3022 0.0000 x6
Ru: 0.3333 0.6667 0.4075 x2
I: 0.0000 0.0000 0.2487 x2
I: 0.0654 0.5327 0.3264 x6
I: 0.2241 0.4482 0.5916 x6
I: 0.3333 0.6667 0.1121 x2

The magnetization is 0.001 μB per formula unit. The value obtained for the total energy is -2.669 eV/atom. The energy above the lowest structure with this stoichiometry comes out at 0.000 eV per atom. For the formation energy from raw total energies, the calculation gives -0.649 eV/atom.

Record 8
Material: Al2OsPt2
Method: DFT, PBE-GGA
State: optimized geometry

a = 7.331 Å, b = 7.331 Å, c = 2.760 Å
α = 90.00°, β = 90.00°, γ = 90.00°
Space group P4/mbm (No. 127)
Asymmetric unit:
Al: 0.152 0.348 0.000 x4
Os: 0.000 0.000 0.000 x2
Pt: 0.146 0.646 0.500 x4

The magnetization is 0.000 μB per formula unit. The value obtained for the total energy is -6.594 eV/atom. The energy above the lowest structure with this stoichiometry comes out at 0.000 eV per atom.

Which formula does entry 6 have?
Tm7Tl2Tc2

Look up the magnetization of the third one.
0.000 μB per formula unit

Number 3 is which compound?
Nd4TeCI2